Entry 1:
VASP calculation (PBE) on an optimized crystal structure of Li4MgGePt2.

Computed properties:
As for the total magnetization: 0.00 μB per atom. The total energy comes out at -3.834 eV/atom.

Cell lengths 4.364, 4.364, 6.080 Å; angles 90.00, 90.00, 90.00 degrees
Space group P-4m2 (No. 115)
Inequivalent atoms, fractional coordinates:
Li1 0.000 0.000 0.000 [1 per cell]
Li2 0.000 0.500 0.740 [2 per cell]
Li3 0.500 0.500 0.500 [1 per cell]
Mg1 0.500 0.500 0.000 [1 per cell]
Ge1 0.000 0.000 0.500 [1 per cell]
Pt1 0.000 0.500 0.272 [2 per cell]

=====

Entry 2:
VASP calculation (PBE) on an optimized crystal structure of Li2Mg2SiGePt2.

Computed properties:
As for the total magnetization: 0.00 μB per atom. The total energy comes out at -4.266 eV/atom.

Cell lengths 4.369, 4.369, 6.179 Å; angles 90.00, 90.00, 90.00 degrees
Space group P-4m2 (No. 115)
Inequivalent atoms, fractional coordinates:
Li1 0.000 0.500 0.247 [2 per cell]
Mg1 0.000 0.000 0.000 [1 per cell]
Mg2 0.500 0.500 0.500 [1 per cell]
Si1 0.500 0.500 0.000 [1 per cell]
Ge1 0.000 0.000 0.500 [1 per cell]
Pt1 0.000 0.500 0.761 [2 per cell]

=====

Entry 3:
VASP calculation (PBE) on an optimized crystal structure of Li2Mg2SnGePt2.

Computed properties:
As for the total magnetization: 0.00 μB per atom. The total energy comes out at -4.100 eV/atom.

Cell lengths 4.489, 4.489, 6.407 Å; angles 90.00, 90.00, 90.00 degrees
Space group P-4m2 (No. 115)
Inequivalent atoms, fractional coordinates:
Li1 0.000 0.500 0.229 [2 per cell]
Mg1 0.000 0.000 0.000 [1 per cell]
Mg2 0.500 0.500 0.500 [1 per cell]
Sn1 0.000 0.000 0.500 [1 per cell]
Ge1 0.500 0.500 0.000 [1 per cell]
Pt1 0.000 0.500 0.765 [2 per cell]

=====

Entry 4:
VASP calculation (PBE) on an optimized crystal structure of Li4MgZnGe2.

Computed properties:
The total energy comes out at -2.785 eV/atom.

Cell lengths 4.424, 4.424, 6.324 Å; angles 90.00, 90.00, 90.00 degrees
Space group P-4m2 (No. 115)
Inequivalent atoms, fractional coordinates:
Li1 0.000 0.000 0.000 [1 per cell]
Li2 0.000 0.500 0.723 [2 per cell]
Li3 0.500 0.500 0.500 [1 per cell]
Mg1 0.500 0.500 0.000 [1 per cell]
Zn1 0.000 0.000 0.500 [1 per cell]
Ge1 0.000 0.500 0.257 [2 per cell]

=====

Entry 5:
VASP calculation (PBE) on an optimized crystal structure of LiMgZnGe.

Computed properties:
The total energy comes out at -2.504 eV/atom. The energy above the most stable polymorph in this dataset comes out at 0 meV/atom.

Cell lengths 6.434, 6.434, 6.434 Å; angles 90.00, 90.00, 90.00 degrees
Space group F-43m (No. 216)
Inequivalent atoms, fractional coordinates:
Li1 0.000 0.000 0.000 [4 per cell]
Mg1 0.000 0.000 0.500 [4 per cell]
Zn1 0.250 0.250 0.250 [4 per cell]
Ge1 0.250 0.250 0.750 [4 per cell]

=====

Entry 6:
VASP calculation (PBE) on an optimized crystal structure of LiMgZnGe.

Computed properties:
The total energy comes out at -2.419 eV/atom. The energy above the most stable polymorph in this dataset comes out at 85 meV/atom.

Cell lengths 6.483, 6.483, 6.483 Å; angles 90.00, 90.00, 90.00 degrees
Space group F-43m (No. 216)
Inequivalent atoms, fractional coordinates:
Li1 0.000 0.000 0.000 [4 per cell]
Mg1 0.250 0.250 0.250 [4 per cell]
Zn1 0.000 0.000 0.500 [4 per cell]
Ge1 0.250 0.250 0.750 [4 per cell]

=====

Entry 7:
VASP calculation (PBE) on an optimized crystal structure of LiGe2Mo.

Computed properties:
As for the total magnetization: 0.04 μB per atom. The total energy comes out at -5.065 eV/atom.

Cell lengths 6.289, 6.289, 6.289 Å; angles 90.00, 90.00, 90.00 degrees
Space group F-43m (No. 216)
Inequivalent atoms, fractional coordinates:
Li1 0.000 0.000 0.000 [4 per cell]
Ge1 0.000 0.000 0.500 [4 per cell]
Ge2 0.250 0.250 0.750 [4 per cell]
Mo1 0.250 0.250 0.250 [4 per cell]

=====

Entry 8:
VASP calculation (PBE) on an optimized crystal structure of LiGeMo.

Computed properties:
As for the total magnetization: 0.38 μB per atom. The total energy comes out at -5.498 eV/atom. The energy above the most stable polymorph in this dataset comes out at 0 meV/atom.

Cell lengths 5.887, 5.887, 5.887 Å; angles 90.00, 90.00, 90.00 degrees
Space group F-43m (No. 216)
Inequivalent atoms, fractional coordinates:
Li1 0.000 0.000 0.000 [4 per cell]
Ge1 0.250 0.250 0.250 [4 per cell]
Mo1 0.000 0.000 0.500 [4 per cell]

=====

Entry 9:
VASP calculation (PBE) on an optimized crystal structure of LiGeMo.

Computed properties:
As for the total magnetization: 0.54 μB per atom. The total energy comes out at -5.183 eV/atom. The energy above the most stable polymorph in this dataset comes out at 315 meV/atom.

Cell lengths 5.987, 5.987, 5.987 Å; angles 90.00, 90.00, 90.00 degrees
Space group F-43m (No. 216)
Inequivalent atoms, fractional coordinates:
Li1 0.000 0.000 0.000 [4 per cell]
Ge1 0.000 0.000 0.500 [4 per cell]
Mo1 0.250 0.250 0.750 [4 per cell]

=====

Entry 10:
VASP calculation (PBE) on an optimized crystal structure of LiNiGeMo.

Computed properties:
As for the total magnetization: 0.00 μB per atom. The total energy comes out at -5.678 eV/atom. The energy above the most stable polymorph in this dataset comes out at 0 meV/atom.

Cell lengths 5.928, 5.928, 5.928 Å; angles 90.00, 90.00, 90.00 degrees
Space group F-43m (No. 216)
Inequivalent atoms, fractional coordinates:
Li1 0.000 0.000 0.000 [4 per cell]
Ni1 0.250 0.250 0.750 [4 per cell]
Ge1 0.000 0.000 0.500 [4 per cell]
Mo1 0.250 0.250 0.250 [4 per cell]

=====

Entry 11:
VASP calculation (PBE) on an optimized crystal structure of LiNiGeMo.

Computed properties:
As for the total magnetization: 0.60 μB per atom. The total energy comes out at -5.597 eV/atom. The energy above the most stable polymorph in this dataset comes out at 82 meV/atom.

Cell lengths 5.948, 5.948, 5.948 Å; angles 90.00, 90.00, 90.00 degrees
Space group F-43m (No. 216)
Inequivalent atoms, fractional coordinates:
Li1 0.000 0.000 0.000 [4 per cell]
Ni1 0.000 0.000 0.500 [4 per cell]
Ge1 0.250 0.250 0.250 [4 per cell]
Mo1 0.250 0.250 0.750 [4 per cell]

=====

Entry 12:
VASP calculation (PBE) on an optimized crystal structure of Li2NbGe.

Computed properties:
As for the total magnetization: 0.23 μB per atom. The total energy comes out at -4.610 eV/atom.

Cell lengths 6.216, 6.216, 6.216 Å; angles 90.00, 90.00, 90.00 degrees
Space group F-43m (No. 216)
Inequivalent atoms, fractional coordinates:
Li1 0.000 0.000 0.000 [4 per cell]
Li2 0.250 0.250 0.250 [4 per cell]
Nb1 0.250 0.250 0.750 [4 per cell]
Ge1 0.000 0.000 0.500 [4 per cell]

=====

Entry 13:
VASP calculation (PBE) on an optimized crystal structure of LiNb2Ge.

Computed properties:
As for the total magnetization: 0.01 μB per atom. The total energy comes out at -6.538 eV/atom.

Cell lengths 6.407, 6.407, 6.407 Å; angles 90.00, 90.00, 90.00 degrees
Space group F-43m (No. 216)
Inequivalent atoms, fractional coordinates:
Li1 0.000 0.000 0.000 [4 per cell]
Nb1 0.000 0.000 0.500 [4 per cell]
Nb2 0.250 0.250 0.250 [4 per cell]
Ge1 0.250 0.250 0.750 [4 per cell]

=====

Entry 14:
VASP calculation (PBE) on an optimized crystal structure of Li2Nb2SiGeOs2.

Computed properties:
As for the total magnetization: 0.00 μB per atom. The total energy comes out at -7.477 eV/atom.

Cell lengths 4.322, 4.322, 6.113 Å; angles 90.00, 90.00, 90.00 degrees
Space group P-4m2 (No. 115)
Inequivalent atoms, fractional coordinates:
Li1 0.000 0.500 0.249 [2 per cell]
Nb1 0.000 0.000 0.000 [1 per cell]
Nb2 0.500 0.500 0.500 [1 per cell]
Si1 0.500 0.500 0.000 [1 per cell]
Ge1 0.000 0.000 0.500 [1 per cell]
Os1 0.000 0.500 0.755 [2 per cell]

=====

Entry 15:
VASP calculation (PBE) on an optimized crystal structure of LiNdGe.

Computed properties:
As for the total magnetization: 0.01 μB per atom. The total energy comes out at -4.166 eV/atom.

Cell lengths 7.0680, 7.0680, 4.3383 Å; angles 90.00, 90.00, 120.00 degrees
Space group P-62m (No. 189)
Inequivalent atoms, fractional coordinates:
Li1 0.0000 0.0000 0.0000 [1 per cell]
Li2 0.3333 0.6667 0.5000 [2 per cell]
Nd1 0.0000 0.5843 0.0000 [3 per cell]
Ge1 0.0000 0.2508 0.5000 [3 per cell]

=====

Entry 16:
VASP calculation (PBE) on an optimized crystal structure of LiNdGe.

Computed properties:
As for the total magnetization: 0.00 μB per atom. The total energy comes out at -4.437 eV/atom.

Cell lengths 7.441, 4.490, 7.806 Å; angles 90.00, 90.00, 90.00 degrees
Space group Pnma (No. 62)
Inequivalent atoms, fractional coordinates:
Li1 0.183 0.250 0.080 [4 per cell]
Nd1 0.004 0.250 0.720 [4 per cell]
Ge1 0.229 0.750 0.910 [4 per cell]

=====

Entry 17:
VASP calculation (PBE) on an optimized crystal structure of LiNdGe.

Computed properties:
As for the total magnetization: 0.00 μB per atom. The total energy comes out at -3.825 eV/atom.

Cell lengths 6.844, 6.844, 6.844 Å; angles 90.00, 90.00, 90.00 degrees
Space group F-43m (No. 216)
Inequivalent atoms, fractional coordinates:
Li1 0.000 0.000 0.000 [4 per cell]
Nd1 0.250 0.250 0.750 [4 per cell]
Ge1 0.000 0.000 0.500 [4 per cell]

=====

Entry 18:
VASP calculation (PBE) on an optimized crystal structure of LiNdGe.

Computed properties:
As for the total magnetization: 0.00 μB per atom. The total energy comes out at -4.453 eV/atom.

Cell lengths 7.2697, 7.2697, 4.3756 Å; angles 90.00, 90.00, 120.00 degrees
Space group P-62m (No. 189)
Inequivalent atoms, fractional coordinates:
Li1 0.0000 0.2311 0.0000 [3 per cell]
Nd1 0.0000 0.5777 0.5000 [3 per cell]
Ge1 0.0000 0.0000 0.5000 [1 per cell]
Ge2 0.3333 0.6667 0.0000 [2 per cell]

=====

Entry 19:
VASP calculation (PBE) on an optimized crystal structure of Li2NdGe.

Computed properties:
As for the total magnetization: 0.22 μB per atom. The total energy comes out at -3.651 eV/atom.

Cell lengths 4.3549, 4.3549, 9.4032 Å; angles 90.00, 90.00, 120.00 degrees
Space group P6_3/mmc (No. 194)
Inequivalent atoms, fractional coordinates:
Li1 0.3333 0.6667 0.0685 [4 per cell]
Nd1 0.3333 0.6667 0.7500 [2 per cell]
Ge1 0.0000 0.0000 0.0000 [2 per cell]

=====

Entry 20:
VASP calculation (PBE) on an optimized crystal structure of LiNdGe.

Computed properties:
As for the total magnetization: 0.00 μB per atom. The total energy comes out at -4.435 eV/atom.

Cell lengths 7.410, 4.430, 8.000 Å; angles 90.00, 90.00, 90.00 degrees
Space group Pnma (No. 62)
Inequivalent atoms, fractional coordinates:
Li1 0.161 0.250 0.070 [4 per cell]
Nd1 0.012 0.250 0.706 [4 per cell]
Ge1 0.231 0.750 0.899 [4 per cell]

=====

Entry 21:
VASP calculation (PBE) on an optimized crystal structure of LiNdGe.

Computed properties:
As for the total magnetization: 0.00 μB per atom. The total energy comes out at -4.433 eV/atom.

Cell lengths 4.5066, 4.5066, 7.4802 Å; angles 90.00, 90.00, 120.00 degrees
Space group P6_3mc (No. 186)
Inequivalent atoms, fractional coordinates:
Li1 0.3333 0.6667 0.0000 [2 per cell]
Nd1 0.0000 0.0000 0.2280 [2 per cell]
Ge1 0.3333 0.6667 0.4577 [2 per cell]

=====

Entry 22:
VASP calculation (PBE) on an optimized crystal structure of LiNdGe.

Computed properties:
As for the total magnetization: 0.00 μB per atom. The total energy comes out at -4.391 eV/atom.

Cell lengths 5.0862, 5.0862, 6.1645 Å; angles 90.00, 90.00, 120.00 degrees
Space group P6_3/mmc (No. 194)
Inequivalent atoms, fractional coordinates:
Li1 0.0000 0.0000 0.0000 [2 per cell]
Nd1 0.3333 0.6667 0.2500 [2 per cell]
Ge1 0.3333 0.6667 0.7500 [2 per cell]

=====

Entry 23:
VASP calculation (PBE) on an optimized crystal structure of LiNd4Ge4.

Computed properties:
As for the total magnetization: 0.00 μB per atom. The total energy comes out at -5.189 eV/atom.

Cell lengths 7.419, 15.214, 7.996 Å; angles 90.00, 90.00, 90.00 degrees
Space group Pnma (No. 62)
Inequivalent atoms, fractional coordinates:
Li1 0.160 0.250 0.030 [4 per cell]
Nd1 0.022 0.600 0.689 [8 per cell]
Nd2 0.174 0.628 0.179 [8 per cell]
Ge1 0.016 0.250 0.579 [4 per cell]
Ge2 0.159 0.036 0.968 [8 per cell]
Ge3 0.225 0.750 0.867 [4 per cell]

=====

Entry 24:
VASP calculation (PBE) on an optimized crystal structure of LiNdGe.

Computed properties:
As for the total magnetization: 0.00 μB per atom. The total energy comes out at -4.408 eV/atom.

Cell lengths 7.414, 4.314, 8.496 Å; angles 90.00, 90.00, 90.00 degrees
Space group Pnma (No. 62)
Inequivalent atoms, fractional coordinates:
Li1 0.127 0.250 0.048 [4 per cell]
Nd1 0.043 0.250 0.682 [4 per cell]
Ge1 0.247 0.250 0.370 [4 per cell]

=====

Entry 25:
VASP calculation (PBE) on an optimized crystal structure of LiNdGe.

Computed properties:
As for the total magnetization: 0.00 μB per atom. The total energy comes out at -4.157 eV/atom.

Cell lengths 7.9087, 7.9087, 4.1374 Å; angles 90.00, 90.00, 120.00 degrees
Space group P-62m (No. 189)
Inequivalent atoms, fractional coordinates:
Li1 0.0000 0.5999 0.0000 [3 per cell]
Nd1 0.0000 0.2717 0.5000 [3 per cell]
Ge1 0.0000 0.0000 0.0000 [1 per cell]
Ge2 0.3333 0.6667 0.5000 [2 per cell]